Entry 1:
Here is an optimized crystal structure of Pr2Ge3Pt from the Alexandria database. Energies are from PBE.

Unit cell a=4.216 b=4.427 c=7.343 alpha=90.00 beta=90.00 gamma=90.00
Space group Pmm2 (No. 25)
Unique sites:
Pr1 0.000 0.000 0.000 [1 per cell]
Pr2 0.000 0.500 0.500 [1 per cell]
Ge1 0.500 0.000 0.333 [1 per cell]
Ge2 0.500 0.000 0.675 [1 per cell]
Ge3 0.500 0.500 0.162 [1 per cell]
Pt1 0.500 0.500 0.827 [1 per cell]


Entry 2:
Here is an optimized crystal structure of Li6Hg2Ge from the Alexandria database. Energies are from PBE.

Unit cell a=7.9108 b=7.9108 c=2.9538 alpha=90.00 beta=90.00 gamma=120.00
Space group P-62m (No. 189)
Unique sites:
Li1 0.0000 0.2887 0.0000 [3 per cell]
Li2 0.0000 0.6457 0.5000 [3 per cell]
Hg1 0.3333 0.6667 0.0000 [2 per cell]
Ge1 0.0000 0.0000 0.5000 [1 per cell]


Entry 3:
Here is an optimized crystal structure of Tb2ReSe from the Alexandria database. Energies are from PBE.

Unit cell a=3.4790 b=3.4790 c=27.8836 alpha=90.00 beta=90.00 gamma=120.00
Space group R-3m (No. 166, hexagonal axes)
Unique sites:
Tb1 0.0000 0.0000 0.0955 [6 per cell]
Re1 0.0000 0.0000 0.0000 [3 per cell]
Se1 0.0000 0.0000 0.5000 [3 per cell]

* ΔE_f (raw): 21.55 kJ/mol of atoms


Entry 4:
Here is an optimized crystal structure of Ba4IrAuBr2 from the Alexandria database. Energies are from PBE.

Unit cell a=8.017 b=4.596 c=8.696 alpha=90.00 beta=107.24 gamma=90.00
Space group P2/m (No. 10)
Unique sites:
Ba1 0.222 0.000 0.212 [2 per cell]
Ba2 0.241 0.500 0.782 [2 per cell]
Ir1 0.000 0.500 0.000 [1 per cell]
Au1 0.500 0.000 0.000 [1 per cell]
Br1 0.000 0.000 0.500 [1 per cell]
Br2 0.500 0.500 0.500 [1 per cell]

* ΔE_f (raw): -101.26 kJ/mol of atoms


| no. | E (eV/atom) | DOS(E_F) (states/eV per cell) |
| --- | --- | --- |
| 1 | -5.79 | 2.99 |
| 2 | -2.15 | 2.20 |
| 3 | -6.07 | 6.90 |
| 4 | -3.95 | 5.37 |